This record from Alexandria via LeMat-Bulk describes a geometry-optimized InCuPdPt structure. The functional is PBE-GGA.

The structure in extended XYZ format:
```
4
Lattice="3.7707 0.0000 0.0000 0.0000 4.0763 0.0000 0.0000 0.0000 4.1239" Properties=species:S:1:pos:R:3 pbc="T T T"
In 0.0000 0.0000 0.0000
Cu 0.0000 2.0381 2.0619
Pd 1.8854 2.0381 0.0000
Pt 1.8854 0.0000 2.0619
```

uncorrected energy	-4.90	eV/atom
spin magnetization	0.0	μB/f.u.
E_form	-1.54	eV/f.u.
space-group type	Pmmm (47)